Record 1
! SiC4 | Alexandria via LeMat-Bulk | GGA-PBE | relaxed; values from VASP
! * formation energy without anion corrections: 1.35 eV per atom
&SYSTEM
  ibrav = 0, nat = 5, ntyp = 2
/
ATOMIC_SPECIES
Si 28.09 Si.upf
C 12.01 C.upf
ATOMIC_POSITIONS angstrom
Si 0.000 0.000 0.000
C 1.853 0.000 0.000
C 3.097 0.000 0.000
C 0.000 1.853 0.000
C 0.000 3.097 0.000
CELL_PARAMETERS angstrom
-2.475 2.475 4.032
2.475 -2.475 4.032
2.475 2.475 -4.032

Record 2
! KUAs2 | Alexandria via LeMat-Bulk | GGA-PBE | relaxed; values from VASP
! * formation energy: -0.548 eV per atom
&SYSTEM
  ibrav = 0, nat = 4, ntyp = 3
/
ATOMIC_SPECIES
K 39.10 K.upf
U 238.03 U.upf
As 74.92 As.upf
ATOMIC_POSITIONS angstrom
K 0.000 0.000 0.000
U 0.000 0.000 19.305
As 0.000 0.000 5.220
As 0.000 0.000 10.127
CELL_PARAMETERS angstrom
2.120 1.224 7.758
-2.120 1.224 7.758
0.000 -2.448 7.758

Calculated V in order - 98.8 120.8 Å³ per cell